The following is a PBE calculation of a relaxed structure of Nd4ZrIn5, from the Alexandria database.

Unit cell a=3.856 b=3.856 c=18.626 alpha=90.00 beta=90.00 gamma=90.00
Fractional positions:
Nd  0.000  0.000  0.105
Nd  0.000  0.000  0.313
Nd  0.000  0.000  0.687
Nd  0.000  0.000  0.895
Zr  0.000  0.000  0.500
In  0.500  0.500  0.000
In  0.500  0.500  0.209
In  0.500  0.500  0.417
In  0.500  0.500  0.583
In  0.500  0.500  0.791

Summary:
Space group: P4/mmm
Energy of formation (eV/atom): -0.421
Electronic total energy (eV per atom): -4.55



The following is a PBE calculation of a relaxed structure of NaHOs3, from the Alexandria database.

Unit cell a=3.972 b=3.972 c=3.972 alpha=90.00 beta=90.00 gamma=90.00
Fractional positions:
Na  0.000  0.000  0.000
H  0.500  0.500  0.500
Os  0.000  0.500  0.500
Os  0.500  0.000  0.500
Os  0.500  0.500  0.000

Summary:
Space group: Pm-3m
Electronic total energy (eV per atom): -6.70



Please write out number 1 again, unchanged.
The following is a PBE calculation of a relaxed structure of Nd4ZrIn5, from the Alexandria database.

Unit cell a=3.856 b=3.856 c=18.626 alpha=90.00 beta=90.00 gamma=90.00
Fractional positions:
Nd  0.000  0.000  0.105
Nd  0.000  0.000  0.313
Nd  0.000  0.000  0.687
Nd  0.000  0.000  0.895
Zr  0.000  0.000  0.500
In  0.500  0.500  0.000
In  0.500  0.500  0.209
In  0.500  0.500  0.417
In  0.500  0.500  0.583
In  0.500  0.500  0.791

Summary:
Space group: P4/mmm
Energy of formation (eV/atom): -0.421
Electronic total energy (eV per atom): -4.55



What is the electronic total energy in the second record? -6.70 eV per atom



Look up the electronic total energy of the second one. -6.70 eV per atom